Entry 1:
DFT (GGA-PBEsol) results for an optimized crystal structure of CaIr2.

The space group is Fd-3m (No. 227, origin choice 2) and the conventional cell measures 7.4868, 7.4868 and 7.4868 Å, with angles of 90.00, 90.00 and 90.00 degrees. The asymmetric unit holds Ca at (0.1250, 0.1250, 0.1250) and Ir at (0.0000, 0.0000, 0.5000).

The crystal system is cubic. The calculation puts the formation energy at -0.414 eV per atom.

***

Entry 2:
DFT (GGA-PBEsol) results for an optimized crystal structure of BaLaPb2.

The space group is P4/mmm (No. 123) and the conventional cell measures 3.7247, 3.7247 and 9.5171 Å, with angles of 90.00, 90.00 and 90.00 degrees. The asymmetric unit holds Ba at (0.0000, 0.0000, 0.0000), La at (0.0000, 0.0000, 0.5000) and Pb at (0.5000, 0.5000, 0.2647).

The crystal system is tetragonal. The calculation puts the formation energy at -0.575 eV per atom.

***

Entry 3:
DFT (GGA-PBEsol) results for an optimized crystal structure of CaBePt2.

The space group is Pmm2 (No. 25) and the conventional cell measures 2.8234, 3.6857 and 6.3034 Å, with angles of 90.00, 90.00 and 90.00 degrees. The asymmetric unit holds Ca at (0.0000, 0.0000, 0.0000), Be at (0.5000, 0.5000, 0.6291), Pt at (0.0000, 0.0000, 0.5491) and Pt at (0.5000, 0.5000, 0.2665).

The crystal system is orthorhombic. The calculation puts the formation energy at -0.446 eV per atom.

***

Entry 4:
DFT (GGA-PBEsol) results for an optimized crystal structure of Al3GaI.

The space group is Pm-3m (No. 221) and the conventional cell measures 5.6469, 5.6469 and 5.6469 Å, with angles of 90.00, 90.00 and 90.00 degrees. The asymmetric unit holds Al at (0.0000, 0.0000, 0.5000), Ga at (0.5000, 0.5000, 0.5000) and I at (0.0000, 0.0000, 0.0000).

Its formation energy without anion corrections is 1227 meV/atom. The crystal system is cubic.

***

Entry 5:
DFT (GGA-PBEsol) results for an optimized crystal structure of ScAuSe2.

The space group is R-3m (No. 166, hexagonal axes) and the conventional cell measures 3.8999, 3.8999 and 23.0102 Å, with angles of 90.00, 90.00 and 120.00 degrees. The asymmetric unit holds Sc at (0.0000, 0.0000, 0.0000), Au at (0.0000, 0.0000, 0.5000) and Se at (0.0000, 0.0000, 0.3962).

Its formation energy without anion corrections is -967 meV/atom. The crystal system is trigonal.

***

Entry 6:
DFT (GGA-PBEsol) results for an optimized crystal structure of GaAg2S.

The space group is Fm-3m (No. 225) and the conventional cell measures 6.5031, 6.5031 and 6.5031 Å, with angles of 90.00, 90.00 and 90.00 degrees. The asymmetric unit holds Ga at (0.0000, 0.0000, 0.0000), Ag at (0.2500, 0.2500, 0.2500) and S at (0.0000, 0.0000, 0.5000).

Its formation energy without anion corrections is 84 meV/atom. The crystal system is cubic.

***

Entry 7:
DFT (GGA-PBEsol) results for an optimized crystal structure of CuP2PdCl.

The space group is P4/mmm (No. 123) and the conventional cell measures 4.3804, 4.3804 and 4.6294 Å, with angles of 90.00, 90.00 and 90.00 degrees. The asymmetric unit holds Cu at (0.0000, 0.0000, 0.0000), P at (0.0000, 0.5000, 0.0000), Pd at (0.5000, 0.5000, 0.5000) and Cl at (0.0000, 0.0000, 0.5000).

Its formation energy without anion corrections is 764 meV/atom. The crystal system is tetragonal.

***

Entry 8:
DFT (GGA-PBEsol) results for an optimized crystal structure of Be3RePb.

The space group is Pm-3m (No. 221) and the conventional cell measures 4.3491, 4.3491 and 4.3491 Å, with angles of 90.00, 90.00 and 90.00 degrees. The asymmetric unit holds Be at (0.0000, 0.0000, 0.5000), Re at (0.0000, 0.0000, 0.0000) and Pb at (0.5000, 0.5000, 0.5000).

The crystal system is cubic. The calculation puts the formation energy at 0.925 eV per atom.

***

Entry 9:
DFT (GGA-PBEsol) results for an optimized crystal structure of Li2CrBr.

The space group is Pmmm (No. 47) and the conventional cell measures 3.5530, 4.5695 and 4.5882 Å, with angles of 90.00, 90.00 and 90.00 degrees. The asymmetric unit holds Li at (0.0000, 0.0000, 0.0000), Li at (0.0000, 0.5000, 0.5000), Cr at (0.5000, 0.0000, 0.5000) and Br at (0.5000, 0.5000, 0.0000).

Its formation energy without anion corrections is 49 meV/atom. The crystal system is orthorhombic. The value obtained for the energy above the most stable polymorph in this dataset is 0.45 eV/f.u.

***

Entry 10:
DFT (GGA-PBEsol) results for an optimized crystal structure of RuRh2Cl.

The space group is P4mm (No. 99) and the conventional cell measures 2.7758, 2.7758 and 7.2291 Å, with angles of 90.00, 90.00 and 90.00 degrees. The asymmetric unit holds Ru at (0.0000, 0.0000, 0.0000), Rh at (0.0000, 0.0000, 0.5081), Rh at (0.5000, 0.5000, 0.7620) and Cl at (0.5000, 0.5000, 0.2406).

Its formation energy without anion corrections is 422 meV/atom. The crystal system is tetragonal. The value obtained for the energy above the most stable polymorph in this dataset is 0.45 eV/f.u.

***

Entry 11:
DFT (GGA-PBEsol) results for an optimized crystal structure of ZrOsBr2.

The space group is R3m (No. 160, hexagonal axes) and the conventional cell measures 3.3871, 3.3871 and 27.2366 Å, with angles of 90.00, 90.00 and 120.00 degrees. The asymmetric unit holds Zr at (0.0000, 0.0000, 0.0000), Os at (0.0000, 0.0000, 0.7318), Br at (0.0000, 0.0000, 0.2602) and Br at (0.0000, 0.0000, 0.4734).

Its formation energy without anion corrections is -172 meV/atom. The crystal system is trigonal. The value obtained for the energy above the most stable polymorph in this dataset is 0.34 eV/f.u.

***

Entry 12:
DFT (GGA-PBEsol) results for an optimized crystal structure of SbTe4W.

The space group is F-43m (No. 216) and the conventional cell measures 8.6417, 8.6417 and 8.6417 Å, with angles of 90.00, 90.00 and 90.00 degrees. The asymmetric unit holds Sb at (0.0000, 0.0000, 0.0000), Te at (0.1242, 0.1242, 0.6242) and W at (0.2500, 0.2500, 0.2500).

Its formation energy without anion corrections is 1352 meV/atom. The crystal system is cubic.